No. 1
SrMgTl: optimized geometry, PBE-GGA.

Unit cell a=5.187 b=5.187 c=4.044 alpha=90.00 beta=90.00 gamma=120.00
Atoms (fractional coordinates):
Sr 0.667 0.333 0.333
Tl 0.333 0.667 0.835
Mg 0.000 0.000 0.832

Computed properties:
* space group: P-6m2
* energy of formation: -268.1 meV/atom
* E: -6.45 eV/cell
* calculated volume: 94.2 Å³ per cell

No. 2
Sr4MgTl3: optimized geometry, PBE-GGA.

Unit cell a=5.802 b=8.239 c=11.604 alpha=90.00 beta=90.00 gamma=90.00
Atoms (fractional coordinates):
Sr 0.500 0.753 0.000
Sr 0.500 0.753 0.500
Sr 0.500 0.247 0.000
Sr 0.500 0.247 0.500
Sr 0.001 0.753 0.750
Sr 0.999 0.753 0.250
Sr 0.999 0.247 0.250
Sr 0.001 0.247 0.750
Mg 0.000 0.500 0.000
Mg 0.000 0.500 0.500
Tl 0.000 0.000 0.000
Tl 0.000 0.000 0.500
Tl 0.501 0.000 0.750
Tl 0.499 0.000 0.250
Tl 0.501 0.500 0.750
Tl 0.499 0.500 0.250

Computed properties:
* space group: Pmma
* energy of formation: -348.7 meV/atom
* E: -36.42 eV/cell
* calculated volume: 554.7 Å³ per cell

No. 3
Sr2MgTl3: optimized geometry, PBE-GGA.

Unit cell a=5.151 b=6.676 c=6.556 alpha=76.98 beta=66.87 gamma=67.31
Atoms (fractional coordinates):
Sr 0.542 0.202 0.714
Sr 0.455 0.797 0.294
Mg 0.169 0.393 0.268
Tl 0.850 0.607 0.692
Tl 0.826 0.223 0.125
Tl 0.158 0.777 0.907

Computed properties:
* space group: Cm
* energy of formation: -322.2 meV/atom
* E: -13.99 eV/cell
* calculated volume: 190.5 Å³ per cell

No. 4
Sr2MgTl: optimized geometry, PBE-GGA.

Unit cell a=5.780 b=5.780 c=5.780 alpha=60.00 beta=60.00 gamma=60.00
Atoms (fractional coordinates):
Mg 0.500 0.500 0.500
Sr 0.000 0.000 0.000
Sr 0.250 0.250 0.250
Tl 0.750 0.750 0.750

Computed properties:
* space group: F-43m
* energy of formation: -71.2 meV/atom
* E: -7.61 eV/cell
* calculated volume: 136.5 Å³ per cell